Compound: Mg2Cu
Source: Alexandria
Functional: SCAN
Structure: single point on PBEsol structure

## Properties
Energy of formation (meV per atom): 65.4
D(E_F) (states/eV/f.u.): 0.91
Energy (eV/atom): -8.317
Crystal system: trigonal
Symmetry: R-3m (166)

Cell lengths 6.9882, 6.9882, 6.9882 Å; angles 24.82, 24.82, 24.82 degrees
Atoms (fractional coordinates):
Mg: 0.2322 0.2322 0.2322
Mg: 0.7678 0.7678 0.7678
Cu: 0.0000 0.0000 0.0000